1.
VASP calculation (PBE) on crystalline TiNbW3 at its relaxed geometry.

Cell lengths 14.4432, 2.6335, 9.5546 Å; angles 90.00, 108.61, 90.00 degrees
Space group C2/m (No. 12)
Unique sites:
Ti1 0.0996 0.0000 0.0468 (multiplicity 4)
Nb1 0.1003 0.5000 0.5461 (multiplicity 4)
W1 0.0030 0.0000 0.7472 (multiplicity 4)
W2 0.1967 0.5000 0.8612 (multiplicity 4)
W3 0.2027 0.0000 0.3486 (multiplicity 4)

Results
**Polymorph energy (0 for the lowest one)**: 0.1666 eV/atom
**Spin magnetization**: 0.0 μB/f.u.
**Calculated density**: 13.35 Mg/m³
**E_form**: 0.4667 eV per atom

***

2.
VASP calculation (PBE) on crystalline TiSb2Pt9 at its relaxed geometry.

Cell lengths 3.9533, 3.9533, 12.9033 Å; angles 90.00, 90.00, 90.00 degrees
Space group P4/mmm (No. 123)
Unique sites:
Ti1 0.0000 0.0000 0.0000 (multiplicity 1)
Sb1 0.0000 0.0000 0.3432 (multiplicity 2)
Pt1 0.0000 0.5000 0.1475 (multiplicity 4)
Pt2 0.0000 0.5000 0.5000 (multiplicity 2)
Pt3 0.5000 0.5000 0.0000 (multiplicity 1)
Pt4 0.5000 0.5000 0.3042 (multiplicity 2)

Results
**Energy relative to the elements, uncorrected**: -0.402 eV per atom
**Spin magnetization**: 0.0 μB/f.u.
**Calculated density**: 16.86 Mg/m³

***

3.
VASP calculation (PBE) on crystalline CsRbNa2Te2 at its relaxed geometry.

Cell lengths 5.4776, 5.4776, 9.1956 Å; angles 90.00, 90.00, 120.00 degrees
Space group P-3m1 (No. 164)
Unique sites:
Cs1 0.0000 0.0000 0.0000 (multiplicity 1)
Rb1 0.0000 0.0000 0.5000 (multiplicity 1)
Na1 0.3333 0.6667 0.6730 (multiplicity 2)
Te1 0.3333 0.6667 0.2830 (multiplicity 2)

Results
**Energy relative to the elements, uncorrected**: -0.970 eV per atom
**Spin magnetization**: 0.0 μB/f.u.
**Calculated density**: 3.61 Mg/m³

***

4.
VASP calculation (PBE) on crystalline Pm4CuAg at its relaxed geometry.

Cell lengths 4.9990, 4.9990, 7.3066 Å; angles 90.00, 90.00, 90.00 degrees
Space group P4/mmm (No. 123)
Unique sites:
Pm1 0.0000 0.5000 0.2327 (multiplicity 4)
Cu1 0.0000 0.0000 0.0000 (multiplicity 1)
Ag1 0.5000 0.5000 0.5000 (multiplicity 1)

Results
**Polymorph energy (0 for the lowest one)**: 0.2062 eV/atom
**Spin magnetization**: 0.6 μB/f.u.
**Calculated density**: 6.83 Mg/m³
**E_form**: 0.0951 eV per atom

***

5.
VASP calculation (PBE) on crystalline LiErPaS4 at its relaxed geometry.

Cell lengths 7.8490, 8.0280, 11.2195 Å; angles 90.00, 90.00, 90.00 degrees
Space group Imma (No. 74)
Unique sites:
Li1 0.0000 0.2500 0.1320 (multiplicity 4)
Er1 0.2500 0.2500 0.7500 (multiplicity 4)
Pa1 0.0000 0.0000 0.5000 (multiplicity 4)
S1 0.0000 0.0149 0.7413 (multiplicity 8)
S2 0.2371 0.2500 0.5069 (multiplicity 8)

Results
**Energy relative to the elements, uncorrected**: -1.719 eV per atom
**Spin magnetization**: 1.0 μB/f.u.
**Calculated density**: 5.01 Mg/m³

***

6.
VASP calculation (PBE) on crystalline La4NiAg3 at its relaxed geometry.

Cell lengths 3.7248, 3.7248, 15.3018 Å; angles 90.00, 90.00, 90.00 degrees
Space group P4/mmm (No. 123)
Unique sites:
La1 0.0000 0.0000 0.1074 (multiplicity 2)
La2 0.0000 0.0000 0.3700 (multiplicity 2)
Ni1 0.5000 0.5000 0.0000 (multiplicity 1)
Ag1 0.5000 0.5000 0.2417 (multiplicity 2)
Ag2 0.5000 0.5000 0.5000 (multiplicity 1)

Results
**Spin magnetization**: 0.0 μB/f.u.
**Calculated density**: 7.34 Mg/m³
**E_form**: -0.2506 eV per atom